Compound: LiTlAsF
Source: Alexandria via LeMat-Bulk
Functional: PBE
Structure: relaxed

Lattice parameters (Å, degrees): 4.036 4.540 6.360 96.55 90.00 116.41
Fractional coordinates of all 4 atoms:
1 Tl 0.609 0.148 0.791
2 F 0.670 0.272 0.178
3 Li 0.199 0.330 0.237
4 As 0.283 0.497 0.668

***

Compound: LiTlAsF
Source: Alexandria via LeMat-Bulk
Functional: PBE
Structure: relaxed

Lattice parameters (Å, degrees): 4.283 3.553 6.706 90.00 106.85 90.00
Fractional coordinates of all 4 atoms:
1 Tl 0.440 0.500 0.225
2 F 0.256 0.500 0.839
3 As 0.983 0.000 0.318
4 Li 0.200 0.000 0.744

***

Compound: LiTl2AsF6
Source: Alexandria via LeMat-Bulk
Functional: PBE
Structure: relaxed

Lattice parameters (Å, degrees): 6.030 6.030 6.039 60.03 60.03 89.98
Fractional coordinates of all 10 atoms:
1 F 0.745 0.255 0.000
2 F 0.745 0.745 0.511
3 Li 0.000 0.000 0.000
4 F 0.255 0.255 0.000
5 As 0.500 0.500 0.000
6 Tl 0.750 0.250 0.500
7 F 0.255 0.745 0.000
8 F 0.255 0.255 0.489
9 Tl 0.250 0.750 0.500
10 F 0.745 0.745 0.000

***

Compound: Li2TlAsF
Source: Alexandria via LeMat-Bulk
Functional: PBE
Structure: relaxed

Lattice parameters (Å, degrees): 4.816 5.428 4.816 90.00 90.00 90.00
Fractional coordinates of all 5 atoms:
1 Tl 0.000 0.500 0.000
2 As 0.000 0.000 0.000
3 Li 0.500 0.000 0.000
4 F 0.500 0.500 0.500
5 Li 0.000 0.000 0.500

***

Compound: LiZrAs2F
Source: Alexandria via LeMat-Bulk
Functional: PBE
Structure: relaxed

Lattice parameters (Å, degrees): 5.263 4.204 5.263 90.00 90.00 90.00
Fractional coordinates of all 5 atoms:
1 F 0.000 0.500 0.000
2 As 0.500 0.000 0.000
3 Li 0.500 0.500 0.500
4 Zr 0.000 0.000 0.000
5 As 0.000 0.000 0.500

***

Compound: LiZrAsF2
Source: Alexandria via LeMat-Bulk
Functional: PBE
Structure: relaxed

Lattice parameters (Å, degrees): 3.775 5.044 3.775 90.00 90.00 90.00
Fractional coordinates of all 5 atoms:
1 F 0.000 0.000 0.500
2 F 0.500 0.000 0.000
3 Zr 0.500 0.500 0.500
4 As 0.000 0.500 0.000
5 Li 0.000 0.000 0.000

***

Compound: Mg2AsF
Source: Alexandria via LeMat-Bulk
Functional: PBE
Structure: relaxed

Lattice parameters (Å, degrees): 5.224 5.224 6.948 67.92 67.92 90.00
Fractional coordinates of all 8 atoms:
1 F 0.250 0.750 0.500
2 F 0.500 0.500 0.000
3 Mg 0.375 0.433 0.750
4 Mg 0.567 0.125 0.250
5 Mg 0.183 0.625 0.250
6 Mg 0.875 0.817 0.750
7 As 0.750 0.250 0.500
8 As 0.000 0.000 0.000

***

Compound: MgAsF3
Source: Alexandria via LeMat-Bulk
Functional: PBE
Structure: relaxed

Lattice parameters (Å, degrees): 4.026 4.026 4.026 90.00 90.00 90.00
Fractional coordinates of all 5 atoms:
1 F 0.000 0.000 0.500
2 As 0.500 0.500 0.500
3 F 0.000 0.500 0.000
4 Mg 0.000 0.000 0.000
5 F 0.500 0.000 0.000

***

Compound: Mg3AsF
Source: Alexandria via LeMat-Bulk
Functional: PBE
Structure: relaxed

Lattice parameters (Å, degrees): 4.523 4.523 4.523 90.00 90.00 90.00
Fractional coordinates of all 5 atoms:
1 Mg 0.500 0.000 0.000
2 Mg 0.000 0.500 0.000
3 As 0.500 0.500 0.500
4 Mg 0.000 0.000 0.500
5 F 0.000 0.000 0.000

***

Compound: Mg2AsF
Source: Alexandria via LeMat-Bulk
Functional: PBE
Structure: relaxed

Lattice parameters (Å, degrees): 4.506 4.506 4.506 60.00 60.00 60.00
Fractional coordinates of all 4 atoms:
1 F 0.000 0.000 0.000
2 Mg 0.250 0.250 0.250
3 Mg 0.750 0.750 0.750
4 As 0.500 0.500 0.500

***

Compound: MgAs2F
Source: Alexandria via LeMat-Bulk
Functional: PBE
Structure: relaxed

Lattice parameters (Å, degrees): 4.558 4.558 4.558 60.00 60.00 60.00
Fractional coordinates of all 4 atoms:
1 Mg 0.500 0.500 0.500
2 F 0.000 0.000 0.000
3 As 0.750 0.750 0.750
4 As 0.250 0.250 0.250

***

Compound: Mg3AsF
Source: Alexandria via LeMat-Bulk
Functional: PBE
Structure: relaxed

Lattice parameters (Å, degrees): 5.116 5.116 5.116 90.00 90.00 90.00
Fractional coordinates of all 5 atoms:
1 Mg 0.000 0.500 0.000
2 Mg 0.500 0.000 0.000
3 As 0.000 0.000 0.000
4 Mg 0.000 0.000 0.500
5 F 0.500 0.500 0.500

***

Compound: MgAs2F
Source: Alexandria via LeMat-Bulk
Functional: PBE
Structure: relaxed

Lattice parameters (Å, degrees): 3.612 3.612 11.386 80.87 80.87 90.00
Fractional coordinates of all 8 atoms:
1 F 0.250 0.750 0.500
2 As 0.116 0.625 0.250
3 As 0.634 0.125 0.250
4 As 0.875 0.884 0.750
5 Mg 0.000 0.000 0.000
6 As 0.375 0.366 0.750
7 F 0.500 0.500 0.000
8 Mg 0.750 0.250 0.500

***

Compound: MgAsF3
Source: Alexandria via LeMat-Bulk
Functional: PBE
Structure: relaxed

Lattice parameters (Å, degrees): 4.390 4.390 4.390 90.00 90.00 90.00
Fractional coordinates of all 5 atoms:
1 F 0.500 0.000 0.000
2 Mg 0.500 0.500 0.500
3 F 0.000 0.500 0.000
4 As 0.000 0.000 0.000
5 F 0.000 0.000 0.500

***

Compound: MgAs2F4
Source: Alexandria via LeMat-Bulk
Functional: PBE
Structure: relaxed

Lattice parameters (Å, degrees): 3.866 3.866 8.504 76.86 76.86 90.00
Fractional coordinates of all 7 atoms:
1 F 0.500 0.000 0.000
2 Mg 0.000 0.000 0.000
3 As 0.746 0.746 0.508
4 As 0.254 0.254 0.492
5 F 0.859 0.859 0.283
6 F 0.000 0.500 0.000
7 F 0.141 0.141 0.717

***

Compound: MgAsN2F
Source: Alexandria via LeMat-Bulk
Functional: PBE
Structure: relaxed

Lattice parameters (Å, degrees): 3.810 3.810 3.996 90.00 90.00 90.00
Fractional coordinates of all 5 atoms:
1 F 0.000 0.000 0.500
2 N 0.500 0.000 0.000
3 As 0.000 0.000 0.000
4 N 0.000 0.500 0.000
5 Mg 0.500 0.500 0.500

***

Compound: MgAsN2F
Source: Alexandria via LeMat-Bulk
Functional: PBE
Structure: relaxed

Lattice parameters (Å, degrees): 4.161 4.161 3.630 90.00 90.00 90.00
Fractional coordinates of all 5 atoms:
1 N 0.000 0.500 0.000
2 N 0.500 0.000 0.000
3 As 0.500 0.500 0.500
4 Mg 0.000 0.000 0.000
5 F 0.000 0.000 0.500

***

Compound: MgAsOF2
Source: Alexandria via LeMat-Bulk
Functional: PBE
Structure: relaxed

Lattice parameters (Å, degrees): 4.405 4.405 3.933 90.00 90.00 90.00
Fractional coordinates of all 5 atoms:
1 F 0.500 0.000 0.000
2 F 0.000 0.500 0.000
3 As 0.000 0.000 0.000
4 O 0.000 0.000 0.500
5 Mg 0.500 0.500 0.500

***

Compound: MgAsOF2
Source: Alexandria via LeMat-Bulk
Functional: PBE
Structure: relaxed

Lattice parameters (Å, degrees): 3.728 3.728 4.453 90.00 90.00 90.00
Fractional coordinates of all 5 atoms:
1 Mg 0.000 0.000 0.000
2 F 0.000 0.500 0.000
3 As 0.500 0.500 0.500
4 F 0.500 0.000 0.000
5 O 0.000 0.000 0.500

***

Compound: MgAs2PdF
Source: Alexandria via LeMat-Bulk
Functional: PBE
Structure: relaxed

Lattice parameters (Å, degrees): 4.940 4.164 4.940 90.00 90.00 90.00
Fractional coordinates of all 5 atoms:
1 As 0.500 0.000 0.000
2 F 0.000 0.500 0.000
3 Mg 0.500 0.500 0.500
4 As 0.000 0.000 0.500
5 Pd 0.000 0.000 0.000

***

Compound: RbMgAsF2
Source: Alexandria via LeMat-Bulk
Functional: PBE
Structure: relaxed

Lattice parameters (Å, degrees): 4.664 6.684 4.664 90.00 90.00 90.00
Fractional coordinates of all 5 atoms:
1 F 0.000 0.000 0.500
2 Rb 0.000 0.000 0.000
3 Mg 0.000 0.500 0.000
4 As 0.500 0.500 0.500
5 F 0.500 0.000 0.000

***

Compound: RbMgAsF6
Source: Alexandria via LeMat-Bulk
Functional: PBE
Structure: relaxed

Lattice parameters (Å, degrees): 5.541 5.541 6.053 90.03 89.97 59.86
Fractional coordinates of all 9 atoms:
1 F 0.389 0.619 0.314
2 Rb 0.000 0.000 0.000
3 F 0.994 0.387 0.315
4 F 0.619 0.389 0.686
5 Mg 0.666 0.666 0.500
6 F 0.387 0.994 0.685
7 As 0.333 0.333 0.500
8 F 0.992 0.619 0.685
9 F 0.619 0.992 0.315

***

Compound: Rb2MgAsF6
Source: Alexandria via LeMat-Bulk
Functional: PBE
Structure: relaxed

Lattice parameters (Å, degrees): 6.315 6.315 6.086 58.75 58.75 90.00
Fractional coordinates of all 10 atoms:
1 F 0.753 0.753 0.495
2 F 0.275 0.275 0.000
3 Rb 0.250 0.750 0.500
4 F 0.247 0.247 0.505
5 F 0.725 0.725 0.000
6 Mg 0.500 0.500 0.000
7 Rb 0.750 0.250 0.500
8 F 0.725 0.275 0.000
9 F 0.275 0.725 0.000
10 As 0.000 0.000 0.000

***

Compound: MgAs2SeF
Source: Alexandria via LeMat-Bulk
Functional: PBE
Structure: relaxed

Lattice parameters (Å, degrees): 4.980 4.980 4.843 90.00 90.00 90.00
Fractional coordinates of all 5 atoms:
1 As 0.500 0.000 0.000
2 F 0.500 0.500 0.500
3 Mg 0.000 0.000 0.000
4 As 0.000 0.500 0.000
5 Se 0.000 0.000 0.500

***

Compound: MgAs2SeF
Source: Alexandria via LeMat-Bulk
Functional: PBE
Structure: relaxed

Lattice parameters (Å, degrees): 4.310 4.310 5.493 90.00 90.00 90.00
Fractional coordinates of all 5 atoms:
1 As 0.000 0.500 0.000
2 As 0.500 0.000 0.000
3 Se 0.000 0.000 0.500
4 F 0.000 0.000 0.000
5 Mg 0.500 0.500 0.500

***

Compound: MgTlAsF6
Source: Alexandria via LeMat-Bulk
Functional: PBE
Structure: relaxed

Lattice parameters (Å, degrees): 5.549 5.548 6.029 90.01 89.99 59.84
Fractional coordinates of all 9 atoms:
1 Mg 0.666 0.666 0.500
2 F 0.384 0.994 0.684
3 F 0.386 0.621 0.314
4 F 0.994 0.384 0.315
5 F 0.622 0.992 0.315
6 F 0.621 0.386 0.686
7 As 0.333 0.333 0.500
8 F 0.992 0.621 0.685
9 Tl 0.000 0.000 0.000

***

Compound: YMgAsF2
Source: Alexandria via LeMat-Bulk
Functional: PBE
Structure: relaxed

Lattice parameters (Å, degrees): 4.473 5.777 4.473 90.00 90.00 90.00
Fractional coordinates of all 5 atoms:
1 F 0.500 0.000 0.000
2 As 0.000 0.000 0.000
3 Y 0.000 0.500 0.000
4 Mg 0.500 0.500 0.500
5 F 0.000 0.000 0.500

***

| no. | spin magnetization (μB per formula unit) | formation energy without anion corrections (eV/f.u.) |
| --- | --- | --- |
| 1 | 0.00 | -4.227 |
| 2 | 0.00 | -4.324 |
| 3 | 0.00 | -21.241 |
| 4 | 0.00 | -3.804 |
| 5 | 0.00 | -5.107 |
| 6 | 0.00 | -8.585 |
| 7 | 0.00 | -5.594 |
| 8 | 0.39 | -9.837 |
| 9 | 0.00 | -4.193 |
| 10 | 0.00 | -5.169 |
| 11 | 0.00 | -1.550 |
| 12 | 0.00 | -1.757 |
| 13 | 0.00 | -3.288 |
| 14 | 0.00 | -6.396 |
| 15 | 0.00 | -14.338 |
| 16 | 0.00 | 0.223 |
| 17 | 1.98 | 2.312 |
| 18 | 0.00 | -6.162 |
| 19 | 0.92 | -8.488 |
| 20 | 0.00 | -1.266 |
| 21 | 1.68 | -2.704 |
| 22 | 0.00 | -24.555 |
| 23 | 1.00 | -25.230 |
| 24 | 0.00 | 1.810 |
| 25 | 0.00 | -0.057 |
| 26 | 0.00 | -22.356 |
| 27 | 0.00 | -4.003 |